No. 1
The following is a PBE calculation of a geometry-optimized CaAgSeN2 structure, from Alexandria.

a = 4.2041 Å, b = 4.2041 Å, c = 5.3949 Å
α = 90.00°, β = 90.00°, γ = 90.00°
Space group P4/mmm (No. 123)
Unique sites:
Ca 0.0000 0.0000 0.0000 [1 per cell]
Ag 0.5000 0.5000 0.5000 [1 per cell]
Se 0.5000 0.5000 0.0000 [1 per cell]
N 0.0000 0.5000 0.5000 [2 per cell]

Values from the calculation:
The calculation puts the calculated total energy at -4.1193 eV per atom. The calculation puts the raw formation energy at 0.88 eV/atom. Its calculated volume is 19.1 Å³/atom.

No. 2
The following is a PBE calculation of a geometry-optimized LaScAs2 structure, from Alexandria.

a = 3.5847 Å, b = 3.5847 Å, c = 26.9287 Å
α = 90.00°, β = 90.00°, γ = 120.00°
Space group R3m (No. 160, hexagonal axes)
Unique sites:
La 0.0000 0.0000 0.0000 [3 per cell]
Sc 0.0000 0.0000 0.2263 [3 per cell]
As 0.0000 0.0000 0.4861 [3 per cell]
As 0.0000 0.0000 0.7569 [3 per cell]

Values from the calculation:
The calculation puts the calculated total energy at -5.2549 eV per atom. Its calculated volume is 25.0 Å³/atom. The formation enthalpy at 0 K comes out at -0.46 eV per formula unit.